(1)
! KCuPdS3 GGA-PBE relaxed; values from VASP
&SYSTEM
  ibrav = 0, nat = 12, ntyp = 4
/
ATOMIC_SPECIES
Cu 63.55 Cu.upf
K 39.10 K.upf
Pd 106.42 Pd.upf
S 32.06 S.upf
ATOMIC_POSITIONS crystal
Cu 0.4578 0.4578 0.2500
Cu 0.5422 0.5422 0.7500
K 0.7473 0.7473 0.2500
K 0.2527 0.2527 0.7500
Pd 0.0000 0.0000 0.0000
Pd 0.0000 0.0000 0.5000
S 0.3864 0.3864 0.0399
S 0.0558 0.0558 0.2500
S 0.3864 0.3864 0.4601
S 0.6136 0.6136 0.5399
S 0.9442 0.9442 0.7500
S 0.6136 0.6136 0.9601
CELL_PARAMETERS angstrom
-4.4979 -5.3114 -1.3764
-1.6251 -6.9004 0.2850
-4.2922 1.3716 8.7337
! - space group = Cmcm

---

(2)
! KCuPdSeS2 GGA-PBE relaxed; values from VASP
&SYSTEM
  ibrav = 0, nat = 12, ntyp = 5
/
ATOMIC_SPECIES
Cu 63.55 Cu.upf
K 39.10 K.upf
Pd 106.42 Pd.upf
S 32.06 S.upf
Se 78.96 Se.upf
ATOMIC_POSITIONS crystal
Cu 0.4523 0.5477 0.2500
Cu 0.5477 0.4523 0.7500
K 0.7538 0.2462 0.2500
K 0.2462 0.7538 0.7500
Pd 0.0000 0.0000 0.0000
Pd 0.0000 0.0000 0.5000
S 0.3924 0.6076 0.0430
S 0.3924 0.6076 0.4570
S 0.6076 0.3924 0.5430
S 0.6076 0.3924 0.9570
Se 0.0609 0.9391 0.2500
Se 0.9391 0.0609 0.7500
CELL_PARAMETERS angstrom
1.8622 -7.1167 0.0000
1.8622 7.1167 0.0000
0.0000 0.0000 10.1076
! - space group = Cmcm

---

(3)
! KCuPdSe2S GGA-PBE relaxed; values from VASP
&SYSTEM
  ibrav = 0, nat = 12, ntyp = 5
/
ATOMIC_SPECIES
Cu 63.55 Cu.upf
K 39.10 K.upf
Pd 106.42 Pd.upf
S 32.06 S.upf
Se 78.96 Se.upf
ATOMIC_POSITIONS crystal
Cu 0.5415 0.4585 0.2500
Cu 0.4585 0.5415 0.7500
K 0.2591 0.7409 0.2500
K 0.7409 0.2591 0.7500
Pd 0.0000 0.0000 0.0000
Pd 0.0000 0.0000 0.5000
S 0.9526 0.0474 0.2500
S 0.0474 0.9526 0.7500
Se 0.6200 0.3800 0.0376
Se 0.6200 0.3800 0.4624
Se 0.3800 0.6200 0.5376
Se 0.3800 0.6200 0.9624
CELL_PARAMETERS angstrom
1.9164 -6.9106 0.0000
1.9164 6.9106 0.0000
0.0000 0.0000 10.2024
! - space group = Cmcm

---

(4)
! KCuTe2PdS GGA-PBE relaxed; values from VASP
&SYSTEM
  ibrav = 0, nat = 12, ntyp = 5
/
ATOMIC_SPECIES
Cu 63.55 Cu.upf
K 39.10 K.upf
Pd 106.42 Pd.upf
S 32.06 S.upf
Te 127.60 Te.upf
ATOMIC_POSITIONS crystal
Cu 0.5534 0.4466 0.2500
Cu 0.4466 0.5534 0.7500
K 0.2750 0.7250 0.2500
K 0.7250 0.2750 0.7500
Pd 0.0000 0.0000 0.0000
Pd 0.0000 0.0000 0.5000
S 0.9780 0.0220 0.2500
S 0.0220 0.9780 0.7500
Te 0.6371 0.3629 0.0355
Te 0.6371 0.3629 0.4645
Te 0.3629 0.6371 0.5355
Te 0.3629 0.6371 0.9645
CELL_PARAMETERS angstrom
2.0269 -6.3883 0.0000
2.0269 6.3883 0.0000
0.0000 0.0000 11.2729
! - space group = Cmcm

---

(5)
! KCuTePdS2 GGA-PBE relaxed; values from VASP
&SYSTEM
  ibrav = 0, nat = 12, ntyp = 5
/
ATOMIC_SPECIES
Cu 63.55 Cu.upf
K 39.10 K.upf
Pd 106.42 Pd.upf
S 32.06 S.upf
Te 127.60 Te.upf
ATOMIC_POSITIONS crystal
Cu 0.9479 0.0521 0.2500
Cu 0.0521 0.9479 0.7500
K 0.2684 0.7316 0.2500
K 0.7316 0.2684 0.7500
Pd 0.5000 0.5000 0.0000
Pd 0.5000 0.5000 0.5000
S 0.8984 0.1016 0.0469
S 0.8984 0.1016 0.4531
S 0.1016 0.8984 0.5469
S 0.1016 0.8984 0.9531
Te 0.5713 0.4287 0.2500
Te 0.4287 0.5713 0.7500
CELL_PARAMETERS angstrom
1.4373 1.3886 7.5815
-4.6590 -0.1785 -6.3035
-2.7572 -9.7854 2.3149
! - space group = Cmcm

---

(6)
! KCuTe2PdSe GGA-PBE relaxed; values from VASP
&SYSTEM
  ibrav = 0, nat = 12, ntyp = 5
/
ATOMIC_SPECIES
Cu 63.55 Cu.upf
K 39.10 K.upf
Pd 106.42 Pd.upf
Se 78.96 Se.upf
Te 127.60 Te.upf
ATOMIC_POSITIONS crystal
Cu 0.9500 0.0500 0.2500
Cu 0.0500 0.9500 0.7500
K 0.2411 0.7589 0.2500
K 0.7589 0.2411 0.7500
Pd 0.5000 0.5000 0.0000
Pd 0.5000 0.5000 0.5000
Se 0.5418 0.4582 0.2500
Se 0.4582 0.5418 0.7500
Te 0.8737 0.1263 0.0339
Te 0.8737 0.1263 0.4661
Te 0.1263 0.8737 0.5339
Te 0.1263 0.8737 0.9661
CELL_PARAMETERS angstrom
2.0538 -6.8490 0.0000
2.0538 6.8490 0.0000
0.0000 0.0000 11.0710
! - space group = Cmcm

---

(7)
! KCu3Te4Pd GGA-PBE relaxed; values from VASP
&SYSTEM
  ibrav = 0, nat = 9, ntyp = 4
/
ATOMIC_SPECIES
Cu 63.55 Cu.upf
K 39.10 K.upf
Pd 106.42 Pd.upf
Te 127.60 Te.upf
ATOMIC_POSITIONS crystal
Cu 0.5000 0.5000 0.0000
Cu 0.5000 0.0000 0.5000
Cu 0.0000 0.5000 0.5000
K 0.0000 0.0000 0.0000
Pd 0.5000 0.5000 0.5000
Te 0.2733 0.2733 0.2733
Te 0.7267 0.7267 0.2733
Te 0.7267 0.2733 0.7267
Te 0.2733 0.7267 0.7267
CELL_PARAMETERS angstrom
-4.3517 4.1345 2.4201
-4.5715 -2.6062 -3.7679
-1.4324 -4.2429 4.6727
! - space group = P-43m

---

(8)
! KPmCu GGA-PBE relaxed; values from VASP
&SYSTEM
  ibrav = 0, nat = 3, ntyp = 3
/
ATOMIC_SPECIES
Cu 63.55 Cu.upf
K 39.10 K.upf
Pm 145.00 Pm.upf
ATOMIC_POSITIONS crystal
Cu 0.0000 0.0000 0.0000
K 0.2500 0.2500 0.2500
Pm 0.7500 0.7500 0.7500
CELL_PARAMETERS angstrom
0.0000 3.6168 3.6168
3.6168 0.0000 3.6168
3.6168 3.6168 0.0000
! - excess energy over the best structure of this formula in the dataset (meV/atom) = 0
! - space group = F-43m

---

Number 1: total energy -4.17 eV per atom. Number 2: total energy -4.06 eV per atom. Number 3: total energy -3.97 eV per atom. Number 4: total energy -3.79 eV per atom. Number 5: total energy -3.96 eV per atom. Number 6: total energy -3.70 eV per atom. Number 7: total energy -3.37 eV per atom. Number 8: total energy -2.65 eV per atom.